Record 1
Computed, not measured: a geometry-optimized NaLiVCl6 structure at the PBE-GGA level of DFT.

a b c (Å): 6.124 6.348 6.348
angles (deg): 120.00 90.00 90.00
Fractional positions:
Na  0.000  0.333  0.667
Li  0.500  0.667  0.333
V  0.500  0.000  0.000
Cl  0.720  0.709  0.692
Cl  0.720  0.308  0.016
Cl  0.720  0.984  0.291
Cl  0.280  0.308  0.291
Cl  0.280  0.709  0.016
Cl  0.280  0.984  0.692

Calculated values
V, Å³/cell: 213.7
Energy relative to the elements, uncorrected, eV/atom: -1.401
Total magnetization, μB per formula unit: 1.0

Record 2
Computed, not measured: a geometry-optimized MgGa2Cl structure at the PBE-GGA level of DFT.

a b c (Å): 6.391 6.391 7.739
angles (deg): 65.61 65.61 90.00
Fractional positions:
Mg  0.500  0.500  0.000
Mg  0.250  0.750  0.500
Ga  0.633  0.125  0.250
Ga  0.117  0.625  0.250
Ga  0.375  0.367  0.750
Ga  0.875  0.883  0.750
Cl  0.000  0.000  0.000
Cl  0.750  0.250  0.500

Calculated values
V, Å³/cell: 256.6
Energy relative to the elements, uncorrected, eV/atom: 0.070
Total magnetization, μB per formula unit: 0.0
ΔE to the lowest computed polymorph, meV per atom: 74

Q: Look up the energy relative to the elements, uncorrected of the second one.
A: 0.070 eV/atom